(1)
{"formula": "TiVB2Pt", "functional": "PBE", "state": "relaxed", "ef_ev_per_atom": 0.96, "total_magnetization_mub_per_atom": 0.15, "vol_a3_per_atom": 15.86, "lattice_angstrom": [[-0.8894, -1.5131, 3.5816], [3.9550, -3.0200, -0.2937], [2.2590, 2.7893, 1.7393]], "species": ["B", "V", "Ti", "Pt", "B"], "fractional_positions": [[0.5000, 0.0000, 0.0000], [0.0000, 0.5000, 0.0000], [0.5000, 0.5000, 0.5000], [0.0000, 0.0000, 0.0000], [0.0000, 0.0000, 0.5000]]}

---

(2)
{"formula": "NbCr3Cu2S8", "functional": "PBE", "state": "relaxed", "formation_energy_uncorrected_ev_per_atom": -0.597, "total_magnetization_mub_per_atom": 0.62, "vol_a3_per_atom": 17.05, "lattice_angstrom": [[6.9406, 0.0000, 0.0000], [0.0000, 5.8289, 0.0211], [0.0000, 0.3102, 5.9026]], "species": ["Cr", "S", "S", "S", "Nb", "S", "Cr", "S", "S", "Cu", "S", "Cu", "S", "Cr"], "fractional_positions": [[0.0000, 0.5000, 0.0000], [0.0000, 0.7210, 0.3226], [0.5000, 0.2570, 0.6684], [0.7567, 0.7475, 0.8175], [0.5000, 0.5000, 0.0000], [0.0000, 0.2790, 0.6774], [0.2518, 0.5000, 0.5000], [0.2433, 0.2525, 0.1825], [0.5000, 0.7430, 0.3316], [0.0000, 0.0000, 0.0000], [0.2433, 0.7475, 0.8175], [0.5000, 0.0000, 0.0000], [0.7567, 0.2525, 0.1825], [0.7482, 0.5000, 0.5000]]}

---

(3)
{"formula": "MgZrSeBr2", "functional": "PBE", "state": "relaxed", "formation_energy_uncorrected_ev_per_atom": -0.334, "total_magnetization_mub_per_atom": 0.40, "vol_a3_per_atom": 26.16, "lattice_angstrom": [[-0.7669, 4.4120, 2.1535], [-4.8181, -0.2577, -1.1877], [-1.0054, -2.4218, 4.6037]], "species": ["Br", "Mg", "Se", "Zr", "Br"], "fractional_positions": [[0.5000, 0.0000, 0.0000], [0.0000, 0.0000, 0.0000], [0.0000, 0.0000, 0.5000], [0.5000, 0.5000, 0.5000], [0.0000, 0.5000, 0.0000]]}

---

(4)
{"formula": "SrCrSbSe2", "functional": "PBE", "state": "relaxed", "formation_energy_uncorrected_ev_per_atom": 0.060, "total_magnetization_mub_per_atom": 0.00, "vol_a3_per_atom": 26.83, "lattice_angstrom": [[-1.7531, -3.4873, 2.6131], [-2.3155, -2.5786, -4.9948], [3.9735, -2.4356, -0.5846]], "species": ["Sr", "Sb", "Se", "Se", "Cr"], "fractional_positions": [[0.0000, 0.5000, 0.0000], [0.5000, 0.5000, 0.5000], [0.0000, 0.0000, 0.5000], [0.5000, 0.0000, 0.0000], [0.0000, 0.0000, 0.0000]]}

---

(5)
{"formula": "ScSI", "functional": "PBE", "state": "relaxed", "formation_energy_uncorrected_ev_per_atom": -1.568, "total_magnetization_mub_per_atom": 0.00, "vol_a3_per_atom": 30.77, "lattice_angstrom": [[-2.7264, 2.6768, 0.8605], [-0.0596, -3.4943, 1.7681], [4.0487, 2.4948, 5.0669]], "species": ["Sc", "S", "I"], "fractional_positions": [[0.6667, 0.3333, 0.3757], [0.3333, 0.6667, 0.5350], [0.0000, 0.0000, 0.0893]]}

---

(6)
{"formula": "Mg2Al2GaAg5", "functional": "PBE", "state": "relaxed", "ef_ev_per_atom": -0.02, "total_magnetization_mub_per_atom": 0.00, "vol_a3_per_atom": 18.84, "lattice_angstrom": [[3.8360, 0.0000, 0.0000], [0.0000, 9.9120, 0.0000], [0.0000, 0.0000, 9.9120]], "species": ["Ag", "Ag", "Ag", "Ga", "Al", "Mg", "Al", "Ag", "Ga", "Ag", "Ag", "Ag", "Mg", "Al", "Ag", "Ag", "Mg", "Mg", "Al", "Ag"], "fractional_positions": [[0.5000, 0.4342, 0.3002], [0.5000, 0.1998, 0.0658], [0.5000, 0.0658, 0.8002], [0.0000, 0.0000, 0.0000], [0.0000, 0.1272, 0.6272], [0.0000, 0.3281, 0.8281], [0.0000, 0.8728, 0.3728], [0.5000, 0.9342, 0.1998], [0.0000, 0.5000, 0.5000], [0.5000, 0.3002, 0.5658], [0.5000, 0.5000, 0.0000], [0.5000, 0.6998, 0.4342], [0.0000, 0.8281, 0.6719], [0.0000, 0.3728, 0.1272], [0.5000, 0.8002, 0.9342], [0.5000, 0.5658, 0.6998], [0.0000, 0.6719, 0.1719], [0.0000, 0.1719, 0.3281], [0.0000, 0.6272, 0.8728], [0.5000, 0.0000, 0.5000]]}